An optimized crystal structure of Ce2Th2CoPt2, computed with GGA-PBE.

Values from the calculation:
Final energy in eV per cell: -101.0

Geometry as CIF:
```
data_Ce2Th2CoPt2
_chemical_formula_sum 'Ce4 Th4 Co2 Pt4'
_symmetry_space_group_name_H-M 'C 1 2/m 1'
_symmetry_Int_Tables_number 12
_cell_length_a 13.6752
_cell_length_b 4.2601
_cell_length_c 6.2415
_cell_angle_alpha 90.00
_cell_angle_beta 106.69
_cell_angle_gamma 90.00
loop_
_symmetry_equiv_pos_as_xyz
'x,y,z'
'-x,-y,-z'
'-x,y,-z'
'x,-y,z'
'x+1/2,y+1/2,z'
'-x+1/2,-y+1/2,-z'
'-x+1/2,y+1/2,-z'
'x+1/2,-y+1/2,z'
loop_
_atom_site_label
_atom_site_type_symbol
_atom_site_fract_x
_atom_site_fract_y
_atom_site_fract_z
Ce1 Ce 0.0121 0.0000 0.2320
Th1 Th 0.2005 0.5000 0.7237
Co1 Co 0.0000 0.5000 0.5000
Pt1 Pt 0.1521 0.5000 0.1826
```

=====

An optimized crystal structure of Th2MgSn, computed with GGA-PBE.

Values from the calculation:
Final energy in eV per cell: -59.5

Geometry as CIF:
```
data_Th2MgSn
_chemical_formula_sum 'Th6 Mg3 Sn3'
_symmetry_space_group_name_H-M 'R -3 m'
_symmetry_Int_Tables_number 166
_symmetry_space_group_name_Hall '-R 3 2"'
_cell_length_a 3.4080
_cell_length_b 3.4080
_cell_length_c 36.4329
_cell_angle_alpha 90.00
_cell_angle_beta 90.00
_cell_angle_gamma 120.00
loop_
_atom_site_label
_atom_site_type_symbol
_atom_site_fract_x
_atom_site_fract_y
_atom_site_fract_z
Th1 Th 0.0000 0.0000 0.0882
Mg1 Mg 0.0000 0.0000 0.5000
Sn1 Sn 0.0000 0.0000 0.0000
```

=====

An optimized crystal structure of Cs2ZrRuBr6, computed with GGA-PBE.

Values from the calculation:
ΔE_f (raw) in eV/atom: -1.019

Geometry as CIF:
```
data_Cs2ZrRuBr6
_chemical_formula_sum 'Cs4 Zr2 Ru2 Br12'
_symmetry_space_group_name_H-M 'I 4/m m m'
_symmetry_Int_Tables_number 139
_symmetry_space_group_name_Hall '-I 4 2'
_cell_length_a 7.7406
_cell_length_b 7.7406
_cell_length_c 10.9376
_cell_angle_alpha 90.00
_cell_angle_beta 90.00
_cell_angle_gamma 90.00
loop_
_atom_site_label
_atom_site_type_symbol
_atom_site_fract_x
_atom_site_fract_y
_atom_site_fract_z
Cs1 Cs 0.0000 0.5000 0.2500
Zr1 Zr 0.0000 0.0000 0.0000
Ru1 Ru 0.0000 0.0000 0.5000
Br1 Br 0.0000 0.0000 0.2470
Br2 Br 0.2468 0.2468 0.0000
```

=====

| no. | density (g/cm³) | size of the total moment (μB per cell) | volume (A^3/atom) |
| --- | --- | --- | --- |
| 1 | 11.38 | 1.3 | 24.9 |
| 2 | 8.25 | 0.0 | 30.5 |
| 3 | 4.75 | 4.0 | 32.8 |